[1]
{"formula": "PdPt2Cl", "functional": "GGA-PBE", "state": "relaxed", "dos_ef_per_ev_atom": 1.697, "e_form_raw_ev_per_atom": 0.610, "relative_energy_ev_per_atom": 0.0426, "spacegroup": "Fm-3m (225)", "lattice": [[0.0000, 3.1914, 3.1914], [3.1914, 0.0000, 3.1914], [3.1914, 3.1914, 0.0000]], "species": ["Pd", "Pt", "Pt", "Cl"], "fractional_positions": [[0.0000, 0.0000, 0.0000], [0.2500, 0.2500, 0.2500], [0.7500, 0.7500, 0.7500], [0.5000, 0.5000, 0.5000]]}

=====

[2]
{"formula": "DyHg2Pd3", "functional": "GGA-PBE", "state": "relaxed", "dos_ef_per_ev_atom": 0.307, "formation_energy_ev_per_atom": -0.463, "relative_energy_ev_per_atom": 0.0280, "spacegroup": "Pmc2_1 (26)", "lattice": [[4.4461, 0.0000, 0.0000], [0.0000, 8.6277, 0.0000], [0.0000, 0.0000, 6.1898]], "species": ["Dy", "Dy", "Hg", "Hg", "Hg", "Hg", "Pd", "Pd", "Pd", "Pd", "Pd", "Pd"], "fractional_positions": [[0.0000, 0.1274, 0.0000], [0.0000, 0.8726, 0.5000], [0.0000, 0.2453, 0.5184], [0.0000, 0.7547, 0.0184], [0.5000, 0.4179, 0.8552], [0.5000, 0.5821, 0.3552], [0.0000, 0.4439, 0.1412], [0.0000, 0.5561, 0.6412], [0.5000, 0.0715, 0.6717], [0.5000, 0.2459, 0.2507], [0.5000, 0.7541, 0.7507], [0.5000, 0.9285, 0.1717]]}

=====

[3]
{"formula": "Cs5ScI8", "functional": "GGA-PBE", "state": "relaxed", "dos_ef_per_ev_atom": 0.000, "e_form_raw_ev_per_atom": -1.387, "spacegroup": "I-4 (82)", "lattice": [[-5.6555, 5.6555, 6.9416], [5.6555, -5.6555, 6.9416], [5.6555, 5.6555, -6.9416]], "species": ["Cs", "Cs", "Cs", "Cs", "Cs", "Sc", "I", "I", "I", "I", "I", "I", "I", "I"], "fractional_positions": [[0.0000, 0.0000, 0.0000], [0.0900, 0.2575, 0.5789], [0.4889, 0.9100, 0.1675], [0.6786, 0.5111, 0.4211], [0.7425, 0.3214, 0.8325], [0.2500, 0.7500, 0.5000], [0.0113, 0.6066, 0.8277], [0.3324, 0.6370, 0.2762], [0.3608, 0.0561, 0.7238], [0.3630, 0.6392, 0.6953], [0.3934, 0.2211, 0.4046], [0.7789, 0.1836, 0.1723], [0.8164, 0.9887, 0.5954], [0.9439, 0.6676, 0.3047]]}

=====

[4]
{"formula": "ZrNb3F", "functional": "GGA-PBE", "state": "relaxed", "dos_ef_per_ev_atom": 1.601, "e_form_raw_ev_per_atom": 1.725, "relative_energy_ev_per_atom": 1.8036, "spacegroup": "Pm-3m (221)", "lattice": [[4.9849, 0.0000, 0.0000], [0.0000, 4.9849, 0.0000], [0.0000, 0.0000, 4.9849]], "species": ["Zr", "Nb", "Nb", "Nb", "F"], "fractional_positions": [[0.0000, 0.0000, 0.0000], [0.0000, 0.0000, 0.5000], [0.0000, 0.5000, 0.0000], [0.5000, 0.0000, 0.0000], [0.5000, 0.5000, 0.5000]]}

=====

[5]
{"formula": "PmPrNd2", "functional": "GGA-PBE", "state": "relaxed", "dos_ef_per_ev_atom": 1.700, "formation_energy_ev_per_atom": 0.013, "relative_energy_ev_per_atom": 0.0008, "spacegroup": "P4/mmm (123)", "lattice": [[5.2030, 0.0000, 0.0000], [0.0000, 5.2030, 0.0000], [0.0000, 0.0000, 5.2048]], "species": ["Pm", "Pr", "Nd", "Nd"], "fractional_positions": [[0.0000, 0.0000, 0.0000], [0.5000, 0.5000, 0.0000], [0.0000, 0.5000, 0.5000], [0.5000, 0.0000, 0.5000]]}

=====

[6]
{"formula": "Dy5In2", "functional": "GGA-PBE", "state": "relaxed", "dos_ef_per_ev_atom": 0.741, "formation_energy_ev_per_atom": -0.276, "relative_energy_ev_per_atom": 0.0000, "spacegroup": "C2/c (15)", "lattice": [[8.1508, -2.6893, 0.0000], [8.1508, 2.6893, 0.0000], [-1.7630, 0.0000, 9.1393]], "species": ["Dy", "Dy", "Dy", "Dy", "Dy", "Dy", "Dy", "Dy", "Dy", "Dy", "In", "In", "In", "In"], "fractional_positions": [[0.0192, 0.5208, 0.6733], [0.1140, 0.6131, 0.0380], [0.2505, 0.7495, 0.7500], [0.3869, 0.8860, 0.4620], [0.4792, 0.9808, 0.8267], [0.5208, 0.0192, 0.1733], [0.6131, 0.1140, 0.5380], [0.7495, 0.2505, 0.2500], [0.8860, 0.3869, 0.9620], [0.9808, 0.4792, 0.3267], [0.1747, 0.6759, 0.3921], [0.3241, 0.8253, 0.1079], [0.6759, 0.1747, 0.8921], [0.8253, 0.3241, 0.6079]]}

=====

[7]
{"formula": "CoWAu", "functional": "GGA-PBE", "state": "relaxed", "dos_ef_per_ev_atom": 0.802, "formation_energy_ev_per_atom": 0.227, "relative_energy_ev_per_atom": 0.0000, "spacegroup": "I4mm (107)", "lattice": [[-1.3919, 1.3919, 5.7227], [1.3919, -1.3919, 5.7227], [1.3919, 1.3919, -5.7227]], "species": ["Co", "W", "Au"], "fractional_positions": [[0.0000, 0.0000, 0.0000], [0.6402, 0.6402, 0.0000], [0.3285, 0.3285, 0.0000]]}

=====

[8]
{"formula": "Na3Zn2In7", "functional": "GGA-PBE", "state": "relaxed", "dos_ef_per_ev_atom": 0.344, "formation_energy_ev_per_atom": -0.011, "relative_energy_ev_per_atom": 0.0234, "spacegroup": "P-1 (2)", "lattice": [[5.0915, 0.0000, 0.0000], [-0.1398, 5.9748, 0.0000], [-0.2452, -0.9275, 10.4102]], "species": ["Na", "Na", "Na", "Zn", "Zn", "In", "In", "In", "In", "In", "In", "In"], "fractional_positions": [[0.0000, 0.0000, 0.0000], [0.0196, 0.1460, 0.3620], [0.9804, 0.8540, 0.6380], [0.4768, 0.6162, 0.7355], [0.5232, 0.3838, 0.2645], [0.0117, 0.6180, 0.2246], [0.4681, 0.7444, 0.4550], [0.4883, 0.0681, 0.8204], [0.5000, 0.5000, 0.0000], [0.5117, 0.9319, 0.1796], [0.5319, 0.2556, 0.5450], [0.9883, 0.3820, 0.7754]]}

=====

[9]
{"formula": "KMgZnRe2", "functional": "GGA-PBE", "state": "relaxed", "dos_ef_per_ev_atom": 0.829, "formation_energy_ev_per_atom": 3.063, "spacegroup": "P4/mmm (123)", "lattice": [[4.6440, 0.0000, 0.0000], [0.0000, 4.6440, 0.0000], [0.0000, 0.0000, 4.7452]], "species": ["K", "Mg", "Zn", "Re", "Re"], "fractional_positions": [[0.0000, 0.0000, 0.0000], [0.0000, 0.0000, 0.5000], [0.5000, 0.5000, 0.5000], [0.0000, 0.5000, 0.0000], [0.5000, 0.0000, 0.0000]]}

=====

[10]
{"formula": "TiNbSb2Te", "functional": "GGA-PBE", "state": "relaxed", "dos_ef_per_ev_atom": 1.314, "e_form_raw_ev_per_atom": 0.659, "relative_energy_ev_per_atom": 0.0000, "spacegroup": "P4/mmm (123)", "lattice": [[5.3573, 0.0000, 0.0000], [0.0000, 5.3573, 0.0000], [0.0000, 0.0000, 5.3849]], "species": ["Ti", "Nb", "Sb", "Sb", "Te"], "fractional_positions": [[0.0000, 0.0000, 0.0000], [0.5000, 0.5000, 0.5000], [0.0000, 0.5000, 0.5000], [0.5000, 0.0000, 0.5000], [0.5000, 0.5000, 0.0000]]}

=====

[11]
{"formula": "MgAlH2", "functional": "GGA-PBE", "state": "relaxed", "total_energy_ev_per_atom": -2.515, "dos_ef_per_ev_atom": 0.257, "spacegroup": "Fm-3m (225)", "lattice": [[0.0000, 2.8324, 2.8324], [2.8324, 0.0000, 2.8324], [2.8324, 2.8324, 0.0000]], "species": ["Mg", "Al", "H", "H"], "fractional_positions": [[0.0000, 0.0000, 0.0000], [0.5000, 0.5000, 0.5000], [0.2500, 0.2500, 0.2500], [0.7500, 0.7500, 0.7500]]}

=====

[12]
{"formula": "TlGeCl3", "functional": "GGA-PBE", "state": "relaxed", "dos_ef_per_ev_atom": 0.356, "e_form_raw_ev_per_atom": -0.243, "spacegroup": "I-4m2 (119)", "lattice": [[-2.6709, 2.6709, 12.2415], [2.6709, -2.6709, 12.2415], [2.6709, 2.6709, -12.2415]], "species": ["Tl", "Tl", "Ge", "Ge", "Cl", "Cl", "Cl", "Cl", "Cl", "Cl"], "fractional_positions": [[0.0000, 0.0000, 0.0000], [0.7500, 0.2500, 0.5000], [0.1373, 0.6373, 0.5000], [0.3627, 0.8627, 0.5000], [0.3166, 0.3166, 0.0000], [0.3644, 0.1137, 0.2506], [0.6834, 0.6834, 0.0000], [0.8631, 0.1137, 0.7494], [0.8863, 0.1369, 0.2506], [0.8863, 0.6356, 0.7494]]}

=====

[13]
{"formula": "Dy2Al8Ni", "functional": "GGA-PBE", "state": "relaxed", "dos_ef_per_ev_atom": 0.161, "formation_energy_ev_per_atom": -0.451, "spacegroup": "P4/mmm (123)", "lattice": [[4.2317, 0.0000, 0.0000], [0.0000, 4.2317, 0.0000], [0.0000, 0.0000, 11.0934]], "species": ["Dy", "Dy", "Al", "Al", "Al", "Al", "Al", "Al", "Al", "Al", "Ni"], "fractional_positions": [[0.0000, 0.0000, 0.1917], [0.0000, 0.0000, 0.8083], [0.0000, 0.5000, 0.0000], [0.0000, 0.5000, 0.3804], [0.0000, 0.5000, 0.6196], [0.5000, 0.0000, 0.0000], [0.5000, 0.0000, 0.3804], [0.5000, 0.0000, 0.6196], [0.5000, 0.5000, 0.1966], [0.5000, 0.5000, 0.8034], [0.0000, 0.0000, 0.5000]]}

=====

[14]
{"formula": "SrTi2Se2", "functional": "GGA-PBE", "state": "relaxed", "dos_ef_per_ev_atom": 1.098, "e_form_raw_ev_per_atom": -0.581, "relative_energy_ev_per_atom": 0.5062, "spacegroup": "P4/mbm (127)", "lattice": [[7.7499, 0.0000, 0.0000], [0.0000, 7.7499, 0.0000], [0.0000, 0.0000, 3.4264]], "species": ["Sr", "Sr", "Ti", "Ti", "Ti", "Ti", "Se", "Se", "Se", "Se"], "fractional_positions": [[0.0000, 0.0000, 0.0000], [0.5000, 0.5000, 0.0000], [0.1297, 0.3703, 0.5000], [0.3703, 0.8703, 0.5000], [0.6297, 0.1297, 0.5000], [0.8703, 0.6297, 0.5000], [0.1429, 0.6429, 0.0000], [0.3571, 0.1429, 0.0000], [0.6429, 0.8571, 0.0000], [0.8571, 0.3571, 0.0000]]}

=====

[15]
{"formula": "MgTeSeN2", "functional": "GGA-PBE", "state": "relaxed", "dos_ef_per_ev_atom": 0.314, "e_form_raw_ev_per_atom": 1.239, "relative_energy_ev_per_atom": 0.3695, "spacegroup": "P4/mmm (123)", "lattice": [[4.1519, 0.0000, 0.0000], [0.0000, 4.1519, 0.0000], [0.0000, 0.0000, 6.4860]], "species": ["Mg", "Te", "Se", "N", "N"], "fractional_positions": [[0.0000, 0.0000, 0.0000], [0.0000, 0.0000, 0.5000], [0.5000, 0.5000, 0.5000], [0.0000, 0.5000, 0.0000], [0.5000, 0.0000, 0.0000]]}